An optimized crystal structure of Ba2ZnSi2O7, computed with PBE-GGA.

a b c (Å): 8.4445 10.6961 8.4559
angles (deg): 90.00 111.41 90.00
With the nearest neighbours (Å) after each atom.
Space group C2/c (No. 15)
Unique sites:
1 Ba 0.2265 0.0433 0.4737 x8  8 O 2.69-2.92
2 Zn 0.0000 0.2587 0.7500 x4  4 O 1.95-1.97
3 Si 0.1142 0.2819 0.1371 x8  4 O 1.61-1.68
4 O 0.0000 0.3349 0.2500 x4  2 Si 1.68
5 O 0.0269 0.3547 0.9549 x8  1 Si 1.64
6 O 0.1095 0.1311 0.1323 x8  1 Si 1.61
7 O 0.1981 0.1554 0.7633 x8  1 Si 1.64

Properties
- DFT total energy: -6.95 eV per atom

=====

An optimized crystal structure of BaSm2O4, computed with PBE-GGA.

a b c (Å): 10.1839 10.1839 10.1839
angles (deg): 90.00 90.00 90.00
With the nearest neighbours (Å) after each atom.
Space group Fd-3m (No. 227, origin choice 2)
Unique sites:
1 Ba 0.1250 0.1250 0.1250 x8  4 O 2.54
2 Sm 0.0000 0.0000 0.5000 x16  6 O 2.37
3 O 0.0192 0.0192 0.7308 x32  3 Sm 2.37, 1 Ba 2.54

Properties
- DFT total energy: -7.63 eV per atom

=====

An optimized crystal structure of BaSm2O4, computed with PBE-GGA.

a b c (Å): 10.5078 3.5585 12.3300
angles (deg): 90.00 90.00 90.00
With the nearest neighbours (Å) after each atom.
Space group Pnma (No. 62)
Unique sites:
1 Ba 0.2488 0.2500 0.1482 x4  8 O 2.75-2.97
2 Sm 0.0757 0.2500 0.8883 x4  6 O 2.30-2.44
3 Sm 0.0794 0.2500 0.3893 x4  6 O 2.31-2.41
4 O 0.0158 0.7500 0.7821 x4  3 Sm 2.30-2.34
5 O 0.0701 0.2500 0.5763 x4  3 Sm 2.31-2.41
6 O 0.1215 0.7500 0.0177 x4  3 Sm 2.38-2.44
7 O 0.2117 0.7500 0.3328 x4  3 Sm 2.34-2.36

Properties
- DFT total energy: -7.63 eV per atom